ErPa2Bi (PBE, relaxed); density of states at the Fermi level = 2.261 states/eV/atom; E_form = 0.286 eV/atom
1.0
1.646 0.950 12.253
-1.646 0.950 12.253
0.000 -1.901 12.253
Er Pa Bi
1 2 1
Cartesian
0.000 0.000 0.000
0.000 0.000 15.139
0.000 0.000 21.618
0.000 0.000 18.379

Er12Pa5Bi3 (PBE, relaxed); density of states at the Fermi level = 2.374 states/eV/atom; E_form = 1.060 eV/atom
1.0
-8.940 8.940 8.940
8.940 -8.940 8.940
8.940 8.940 -8.940
Er Pa Bi
48 20 12
Cartesian
2.671 -0.190 1.374
10.738 5.844 -4.660
8.750 -1.374 2.671
13.599 -1.799 3.096
11.611 0.190 1.374
10.738 -3.096 4.660
1.374 2.671 -0.190
12.035 4.280 -1.799
5.844 4.660 -1.799
7.565 2.671 0.190
-0.190 1.374 2.671
4.660 -1.799 5.844
8.750 7.565 -2.671
4.660 1.799 3.096
7.565 -2.671 8.750
5.844 -4.660 10.738
3.096 4.660 1.799
10.314 6.268 0.190
2.671 8.750 -1.374
10.738 3.096 4.280
4.660 10.738 -3.096
8.750 1.374 6.268
1.799 3.096 4.660
2.671 0.190 7.565
6.268 8.750 1.374
7.141 5.844 4.280
0.190 7.565 2.671
4.280 -1.799 12.035
-1.799 5.844 4.660
6.268 0.190 10.314
-1.374 2.671 8.750
5.844 4.280 7.141
3.096 13.599 -1.799
1.374 11.611 0.190
4.280 7.141 5.844
0.190 1.374 11.611
4.280 10.738 3.096
9.130 7.565 6.268
1.374 6.268 8.750
3.096 4.280 10.738
-3.096 4.660 10.738
7.565 6.268 9.130
-1.799 12.035 4.280
-2.671 8.750 7.565
-4.660 10.738 5.844
0.190 10.314 6.268
-1.799 3.096 13.599
6.268 9.130 7.565
0.000 0.000 0.000
4.470 4.470 -4.470
4.470 -4.470 4.470
8.940 0.000 0.000
13.409 2.235 0.000
8.940 -4.470 6.705
6.705 8.940 -4.470
6.705 0.000 4.470
4.470 6.705 0.000
8.940 4.470 2.235
-4.470 4.470 4.470
0.000 8.940 0.000
0.000 0.000 8.940
4.470 4.470 4.470
0.000 4.470 6.705
4.470 2.235 8.940
2.235 8.940 4.470
2.235 0.000 13.409
0.000 13.409 2.235
-4.470 6.705 8.940
4.470 2.235 0.000
8.940 4.470 -2.235
2.235 0.000 4.470
11.174 0.000 4.470
0.000 4.470 2.235
4.470 -2.235 8.940
4.470 11.174 0.000
8.940 4.470 6.705
-2.235 8.940 4.470
6.705 8.940 4.470
0.000 4.470 11.174
4.470 6.705 8.940

ErPaBi (PBE, relaxed); density of states at the Fermi level = 2.069 states/eV/atom; energy above the lowest structure with this stoichiometry = 0.3634 eV per atom; E_form = 0.106 eV/atom
1.0
5.421 0.000 0.000
-2.710 4.694 0.000
0.000 0.000 3.404
Er Pa Bi
1 1 1
Cartesian
0.000 0.000 0.000
0.000 3.130 1.624
2.710 1.565 2.723

Q: Which value of E_form does entry 1 give?
A: 0.286 eV/atom